*i*
Entry from Alexandria via LeMat-Bulk: a relaxed NdErNiPt crystal (PBE).

Lattice parameters (Å, degrees): 4.940 4.940 4.940 60.00 60.00 60.00
Sites, in units of the cell vectors:
Nd 0.000 0.000 0.000
Er 0.500 0.500 0.500
Ni 0.250 0.250 0.250
Pt 0.750 0.750 0.750

*ii*
Entry from Alexandria via LeMat-Bulk: a relaxed NdErNiPt crystal (PBE).

Lattice parameters (Å, degrees): 4.446 5.478 5.478 41.49 90.00 90.00
Sites, in units of the cell vectors:
Nd 0.000 0.000 0.000
Er 0.500 0.719 0.719
Ni 0.000 0.277 0.277
Pt 0.500 0.431 0.431

*ii* is the most stable structure; the next one sits 8.2 kJ/mol of atoms above it.

*i*
Entry from Alexandria via LeMat-Bulk: a relaxed NdErNiRh crystal (PBE).

Lattice parameters (Å, degrees): 4.117 5.726 5.726 39.49 90.00 90.00
Sites, in units of the cell vectors:
Nd 0.000 0.000 0.000
Er 0.500 0.719 0.719
Ni 0.500 0.430 0.430
Rh 0.000 0.274 0.274

*ii*
Entry from Alexandria via LeMat-Bulk: a relaxed NdErNiRh crystal (PBE).

Lattice parameters (Å, degrees): 4.888 4.888 4.888 60.00 60.00 60.00
Sites, in units of the cell vectors:
Nd 0.000 0.000 0.000
Er 0.500 0.500 0.500
Ni 0.750 0.750 0.750
Rh 0.250 0.250 0.250

*i* is the most stable structure; the next one sits 5.4 kJ/mol of atoms above it.

*i*
Entry from Alexandria via LeMat-Bulk: a relaxed Nd2ErO crystal (PBE).

Lattice parameters (Å, degrees): 3.258 3.258 9.057 90.00 90.00 90.00
Sites, in units of the cell vectors:
Nd 0.000 0.000 0.172
Nd 0.000 0.000 0.828
Er 0.500 0.500 0.500
O 0.500 0.500 0.000

*ii*
Entry from Alexandria via LeMat-Bulk: a relaxed Nd2ErO crystal (PBE).

Lattice parameters (Å, degrees): 9.504 9.504 9.504 22.04 22.04 22.04
Sites, in units of the cell vectors:
Nd 0.118 0.118 0.118
Nd 0.882 0.882 0.882
Er 0.000 0.000 0.000
O 0.500 0.500 0.500

*ii* is the most stable structure; the next one sits 29.4 kJ/mol of atoms above it.

*i*
Entry from Alexandria via LeMat-Bulk: a relaxed NdEr2Os crystal (PBE).

Lattice parameters (Å, degrees): 11.125 11.125 11.125 17.78 17.78 17.78
Sites, in units of the cell vectors:
Nd 0.000 0.000 0.000
Er 0.107 0.107 0.107
Er 0.893 0.893 0.893
Os 0.500 0.500 0.500

*ii*
Entry from Alexandria via LeMat-Bulk: a relaxed NdEr2Os crystal (PBE).

Lattice parameters (Å, degrees): 3.403 3.403 9.225 90.00 90.00 90.00
Sites, in units of the cell vectors:
Nd 0.000 0.000 0.000
Er 0.500 0.500 0.323
Er 0.500 0.500 0.677
Os 0.000 0.000 0.500

*iii*
Entry from Alexandria via LeMat-Bulk: a relaxed NdEr2Os crystal (PBE).

Lattice parameters (Å, degrees): 7.470 9.031 6.390 90.00 90.00 90.00
Sites, in units of the cell vectors:
Nd 0.039 0.250 0.127
Nd 0.461 0.750 0.627
Nd 0.539 0.250 0.373
Nd 0.961 0.750 0.873
Er 0.174 0.064 0.663
Er 0.174 0.436 0.663
Er 0.326 0.564 0.163
Er 0.326 0.936 0.163
Er 0.674 0.064 0.837
Er 0.674 0.436 0.837
Er 0.826 0.564 0.337
Er 0.826 0.936 0.337
Os 0.117 0.750 0.448
Os 0.383 0.250 0.948
Os 0.617 0.750 0.052
Os 0.883 0.250 0.552

*iii* is the most stable structure; the next one sits 5.1 kJ/mol of atoms above it.

*i*
Entry from Alexandria via LeMat-Bulk: a relaxed NdErPa crystal (PBE).

Lattice parameters (Å, degrees): 3.442 3.442 8.649 90.00 90.00 120.00
Sites, in units of the cell vectors:
Nd 0.000 0.000 0.000
Er 0.333 0.667 0.637
Pa 0.667 0.333 0.325

*ii*
Entry from Alexandria via LeMat-Bulk: a relaxed NdErPa crystal (PBE).

Lattice parameters (Å, degrees): 4.656 4.656 8.550 90.00 90.00 90.00
Sites, in units of the cell vectors:
Nd 0.250 0.250 0.189
Nd 0.750 0.750 0.811
Er 0.250 0.250 0.776
Er 0.750 0.750 0.224
Pa 0.250 0.750 0.500
Pa 0.750 0.250 0.500

*iii*
Entry from Alexandria via LeMat-Bulk: a relaxed NdErPa crystal (PBE).

Lattice parameters (Å, degrees): 8.070 8.070 8.070 155.59 155.59 34.79
Sites, in units of the cell vectors:
Nd 0.000 0.000 0.000
Er 0.689 0.689 0.000
Pa 0.341 0.341 0.000

*i* is the most stable structure; the next one sits 2.1 kJ/mol of atoms above it.

*i*
Entry from Alexandria via LeMat-Bulk: a relaxed Nd3ErPb2 crystal (PBE).

Lattice parameters (Å, degrees): 4.666 4.666 8.843 90.00 90.00 90.00
Sites, in units of the cell vectors:
Nd 0.000 0.000 0.000
Nd 0.000 0.500 0.655
Nd 0.500 0.000 0.345
Er 0.500 0.500 0.000
Pb 0.000 0.500 0.281
Pb 0.500 0.000 0.719

*ii*
Entry from Alexandria via LeMat-Bulk: a relaxed Nd3ErPb2 crystal (PBE).

Lattice parameters (Å, degrees): 8.570 8.570 4.519 90.00 90.00 146.13
Sites, in units of the cell vectors:
Nd 0.000 0.000 0.000
Nd 0.324 0.676 0.000
Nd 0.676 0.324 0.000
Er 0.500 0.500 0.500
Pb 0.149 0.851 0.500
Pb 0.851 0.149 0.500

*i* is the most stable structure; the next one sits 4.1 kJ/mol of atoms above it.

*i*
Entry from Alexandria via LeMat-Bulk: a relaxed Nd2ErPb crystal (PBE).

Lattice parameters (Å, degrees): 13.689 13.689 5.744 90.00 90.00 165.43
Sites, in units of the cell vectors:
Nd 0.093 0.907 0.750
Nd 0.184 0.816 0.250
Nd 0.816 0.184 0.750
Nd 0.907 0.093 0.250
Er 0.029 0.971 0.250
Er 0.971 0.029 0.750
Pb 0.303 0.697 0.250
Pb 0.697 0.303 0.750

*ii*
Entry from Alexandria via LeMat-Bulk: a relaxed Nd2ErPb crystal (PBE).

Lattice parameters (Å, degrees): 5.591 5.591 5.591 60.00 60.00 60.00
Sites, in units of the cell vectors:
Nd 0.250 0.250 0.250
Nd 0.750 0.750 0.750
Er 0.000 0.000 0.000
Pb 0.500 0.500 0.500

*iii*
Entry from Alexandria via LeMat-Bulk: a relaxed Nd2ErPb crystal (PBE).

Lattice parameters (Å, degrees): 12.373 12.373 12.373 16.36 16.36 16.36
Sites, in units of the cell vectors:
Nd 0.091 0.091 0.091
Nd 0.909 0.909 0.909
Er 0.000 0.000 0.000
Pb 0.500 0.500 0.500

*iv*
Entry from Alexandria via LeMat-Bulk: a relaxed Nd2ErPb crystal (PBE).

Lattice parameters (Å, degrees): 4.911 4.911 5.007 90.00 90.00 90.00
Sites, in units of the cell vectors:
Nd 0.000 0.500 0.000
Nd 0.500 0.000 0.000
Er 0.000 0.000 0.500
Pb 0.500 0.500 0.500

*iv* is the most stable structure; the next one sits 15.3 kJ/mol of atoms above it.

*i*
Entry from Alexandria via LeMat-Bulk: a relaxed NdEr3Pb2 crystal (PBE).

Lattice parameters (Å, degrees): 9.404 9.404 9.562 112.34 112.34 28.33
Sites, in units of the cell vectors:
Nd 0.114 0.114 0.132
Nd 0.886 0.886 0.868
Er 0.058 0.058 0.687
Er 0.307 0.307 0.112
Er 0.359 0.359 0.515
Er 0.641 0.641 0.485
Er 0.693 0.693 0.888
Er 0.942 0.942 0.313
Pb 0.244 0.244 0.709
Pb 0.490 0.490 0.152
Pb 0.510 0.510 0.848
Pb 0.756 0.756 0.291

*ii*
Entry from Alexandria via LeMat-Bulk: a relaxed NdEr3Pb2 crystal (PBE).

Lattice parameters (Å, degrees): 4.562 4.562 8.598 90.00 90.00 90.00
Sites, in units of the cell vectors:
Nd 0.000 0.000 0.000
Er 0.000 0.500 0.342
Er 0.500 0.000 0.658
Er 0.500 0.500 0.000
Pb 0.000 0.500 0.709
Pb 0.500 0.000 0.291

*ii* is the most stable structure; the next one sits 6.1 kJ/mol of atoms above it.

*i*
Entry from Alexandria via LeMat-Bulk: a relaxed Nd3Er2Pb4 crystal (PBE).

Lattice parameters (Å, degrees): 7.159 7.159 10.142 121.98 121.98 41.25
Sites, in units of the cell vectors:
Nd 0.000 0.000 0.000
Nd 0.351 0.351 0.298
Nd 0.649 0.649 0.702
Er 0.353 0.353 0.675
Er 0.647 0.647 0.325
Pb 0.066 0.066 0.407
Pb 0.331 0.331 0.965
Pb 0.669 0.669 0.035
Pb 0.934 0.934 0.593

*ii*
Entry from Alexandria via LeMat-Bulk: a relaxed Nd3Er2Pb4 crystal (PBE).

Lattice parameters (Å, degrees): 8.627 8.627 6.928 104.69 104.69 34.54
Sites, in units of the cell vectors:
Nd 0.000 0.000 0.000
Nd 0.119 0.119 0.581
Nd 0.881 0.881 0.419
Er 0.333 0.333 0.926
Er 0.667 0.667 0.074
Pb 0.242 0.242 0.278
Pb 0.493 0.493 0.716
Pb 0.507 0.507 0.284
Pb 0.758 0.758 0.722

*ii* is the most stable structure; the next one sits 2.3 kJ/mol of atoms above it.

*i*
Entry from Alexandria via LeMat-Bulk: a relaxed NdErPdPt crystal (PBE).

Lattice parameters (Å, degrees): 5.015 5.015 5.015 60.00 60.00 60.00
Sites, in units of the cell vectors:
Nd 0.000 0.000 0.000
Er 0.500 0.500 0.500
Pd 0.250 0.250 0.250
Pt 0.750 0.750 0.750

*ii*
Entry from Alexandria via LeMat-Bulk: a relaxed NdErPdPt crystal (PBE).

Lattice parameters (Å, degrees): 4.526 5.692 5.692 39.12 90.00 90.00
Sites, in units of the cell vectors:
Nd 0.000 0.000 0.000
Er 0.500 0.726 0.726
Pd 0.500 0.447 0.447
Pt 0.000 0.273 0.273

*ii* is the most stable structure; the next one sits 6.3 kJ/mol of atoms above it.

*i*
Entry from Alexandria via LeMat-Bulk: a relaxed NdErZnPd crystal (PBE).

Lattice parameters (Å, degrees): 3.596 3.596 7.096 90.00 90.00 90.00
Sites, in units of the cell vectors:
Nd 0.000 0.000 0.000
Er 0.000 0.000 0.490
Zn 0.500 0.500 0.727
Pd 0.500 0.500 0.276

*ii*
Entry from Alexandria via LeMat-Bulk: a relaxed NdErZnPd crystal (PBE).

Lattice parameters (Å, degrees): 5.070 5.070 5.070 60.00 60.00 60.00
Sites, in units of the cell vectors:
Nd 0.000 0.000 0.000
Er 0.500 0.500 0.500
Zn 0.750 0.750 0.750
Pd 0.250 0.250 0.250

*i* is the most stable structure; the next one sits 3.5 kJ/mol of atoms above it.